Entry 1:
Compound: Bi3RhN
Source: the Alexandria database
Functional: PBE
Structure: optimized geometry

Computed properties:
ΔE_f (raw) (eV per atom): 1.342
Raw total energy (eV per cell): -20.611
Symmetry: Pm-3m, No. 221

Cell lengths 5.238, 5.238, 5.238 Å; angles 90.00, 90.00, 90.00 degrees
Fractional positions:
Rh: 0.000 0.000 0.000
Bi: 0.500 0.000 0.000
Bi: 0.000 0.000 0.500
Bi: 0.000 0.500 0.000
N: 0.500 0.500 0.500

Entry 2:
Compound: Sr3LiZn2Ag6
Source: the Alexandria database
Functional: PBE
Structure: optimized geometry

Computed properties:
E_form (eV per atom): -0.0963
Raw total energy (eV per cell): -27.770
Symmetry: P-3m1, No. 164

Cell lengths 6.478, 6.478, 8.454 Å; angles 90.00, 90.00, 120.00 degrees
Fractional positions:
Ag: 0.182 0.818 0.311
Ag: 0.818 0.182 0.689
Ag: 0.818 0.636 0.689
Ag: 0.636 0.818 0.311
Ag: 0.364 0.182 0.689
Ag: 0.182 0.364 0.311
Sr: 0.000 0.000 0.000
Sr: 0.667 0.333 0.334
Sr: 0.333 0.667 0.666
Zn: 0.667 0.333 0.940
Zn: 0.333 0.667 0.060
Li: 0.000 0.000 0.500

Entry 3:
Compound: KBeNi2Ru
Source: the Alexandria database
Functional: PBE
Structure: optimized geometry

Computed properties:
E_form (eV per atom): 0.8317
Raw total energy (eV per cell): -21.504
Symmetry: P4/mmm, No. 123

Cell lengths 4.298, 4.257, 4.298 Å; angles 90.00, 90.00, 90.00 degrees
Fractional positions:
K: 0.500 0.500 0.500
Ru: 0.000 0.500 0.000
Ni: 0.500 0.000 0.000
Ni: 0.000 0.000 0.500
Be: 0.000 0.000 0.000

Entry 4:
Compound: LiTiTe3
Source: the Alexandria database
Functional: PBE
Structure: optimized geometry

Computed properties:
ΔE_f (raw) (eV per atom): -0.594
Raw total energy (eV per cell): -44.406
Symmetry: P2_1/m, No. 11

Cell lengths 3.668, 6.853, 12.458 Å; angles 107.53, 90.00, 90.00 degrees
Fractional positions:
Te: 0.250 0.113 0.373
Te: 0.750 0.887 0.627
Te: 0.250 0.515 0.800
Te: 0.750 0.873 0.069
Te: 0.750 0.485 0.200
Te: 0.250 0.127 0.931
Li: 0.750 0.813 0.396
Li: 0.250 0.187 0.604
Ti: 0.250 0.183 0.172
Ti: 0.750 0.817 0.828

Question: Look up the raw total energy of the first one.
Answer: -20.611 eV per cell